Entry 1:
La6PmIn2 | PBE | optimized geometry

Cell lengths 4.8018, 8.3256, 8.2482 Å; angles 109.01, 106.92, 90.00 degrees
With the nearest neighbours (Å) after each atom.
Sites, in units of the cell vectors:
La 0.2772 0.1564 0.5545  8 La 3.43-3.74, 3 In 3.49-3.65, 1 Pm 3.70
La 0.7228 0.8436 0.4455  8 La 3.43-3.74, 3 In 3.49-3.65, 1 Pm 3.70
La 0.4023 0.8545 0.8047  1 La 3.21, 4 In 3.53
La 0.1675 0.4895 0.3350  8 La 3.50-3.91, 2 Pm 3.59, 2 In 3.61-3.69
La 0.8325 0.5105 0.6650  8 La 3.50-3.91, 2 Pm 3.59, 2 In 3.61-3.69
La 0.5977 0.1455 0.1953  1 La 3.21, 4 In 3.53
Pm 0.5000 0.5000 0.0000  4 In 3.45, 8 La 3.59-3.77
In 0.9417 0.1835 0.8834  2 Pm 3.45, 9 La 3.49-3.69
In 0.0583 0.8165 0.1166  2 Pm 3.45, 9 La 3.49-3.69

Its symmetry is C2/m. As for the excess energy over the best structure of this formula in the dataset: 0 meV/atom.



Entry 2:
PmZn9Hg2 | PBE | optimized geometry

Cell lengths 5.4322, 5.4322, 8.9039 Å; angles 72.24, 72.24, 60.00 degrees
With the nearest neighbours (Å) after each atom.
Sites, in units of the cell vectors:
Zn 0.5870 0.0807 0.7453  7 Zn 2.59-2.75
Zn 0.0807 0.5870 0.7453  7 Zn 2.59-2.75
Zn 0.5000 0.5000 0.5000  6 Zn 2.59
Zn 0.5870 0.5870 0.7453  7 Zn 2.59-2.75
Zn 0.4130 0.9193 0.2547  7 Zn 2.59-2.75
Zn 0.4130 0.4130 0.2547  7 Zn 2.59-2.75
Zn 0.3329 0.3329 0.0013  6 Zn 2.62-2.66
Zn 0.6671 0.6671 0.9987  6 Zn 2.62-2.66
Zn 0.9193 0.4130 0.2547  7 Zn 2.59-2.75
Pm 0.0000 0.0000 0.0000  18 Zn 3.14-3.45, 2 Hg 3.41
Hg 0.1364 0.1364 0.5909  12 Zn 3.01-3.23
Hg 0.8636 0.8636 0.4091  12 Zn 3.01-3.23

Its symmetry is R-3m. The value obtained for the total DFT energy (no corrections) is -1.491 eV/atom.



Entry 3:
Rb2Th3S8 | PBE | optimized geometry

Cell lengths 7.3357, 8.3808, 9.0717 Å; angles 117.51, 105.97, 90.00 degrees
With the nearest neighbours (Å) after each atom.
Sites, in units of the cell vectors:
S 0.0000 0.3873 0.7747  2 Th 2.76
S 0.8947 0.0932 0.1864  3 Th 2.82-2.83
S 0.6131 0.6766 0.8052  2 Th 2.75-2.79
S 0.3869 0.3234 0.1948  2 Th 2.75-2.79
S 0.6131 0.1286 0.8052  2 Th 2.75-2.79
S 0.1053 0.9068 0.8136  3 Th 2.82-2.83
S 0.3869 0.8714 0.1948  2 Th 2.75-2.79
S 0.0000 0.6127 0.2253  2 Th 2.76
Th 0.0000 0.7478 0.0000  6 S 2.76-2.83
Th 0.0000 0.2522 0.0000  6 S 2.76-2.83
Th 0.5000 0.0000 0.0000  6 S 2.75-2.82
Rb 0.6809 0.7280 0.4559  6 S 3.40-3.55
Rb 0.3191 0.2720 0.5441  6 S 3.40-3.55

Its symmetry is C2/m. For the uncorrected formation energy, the calculation gives -1.491 eV/atom.



Number 1: V 296.6 Å³ per cell. Number 2: V 213.0 Å³ per cell. Number 3: V 470.2 Å³ per cell.